A plane-wave DFT calculation with GGA-PBEsol was carried out for ReAg2Br after structural relaxation.

Cell and atoms, written as CIF:
```
data_ReAg2Br
_cell_length_a 2.7144
_cell_length_b 2.9354
_cell_length_c 9.0610
_cell_angle_alpha 90.00
_cell_angle_beta 90.09
_cell_angle_gamma 90.00
_symmetry_space_group_name_H-M 'P 1 2/m 1'
_symmetry_Int_Tables_number 10
_symmetry_space_group_name_Hall '-P 2y'
loop_
_atom_site_label
_atom_site_type_symbol
_atom_site_fract_x
_atom_site_fract_y
_atom_site_fract_z
_atom_site_occupancy
Re1 Re 0.0000 0.0000 0.0000 1
Ag1 Ag 0.4987 0.5000 0.7782 1
Br1 Br 0.5000 0.0000 0.5000 1
```

Calculated values
Distance to the lowest polymorph of the same formula ... 0.000 eV/atom
E ... -19.2 eV for the cell shown
Energy relative to the elements, uncorrected ... 2.62 eV/f.u.